1.
The following is a GGA-PBE calculation of a relaxed MgWS2N crystal, from Alexandria.

Results
* polymorph energy (0 for the lowest one): 0 meV per atom
* space-group type: P4/mmm (123)
* energy relative to the elements, uncorrected: -22 kJ per mole of atoms
* M_tot: 0.0 μB/cell

```
data_MgWS2N
_cell_length_a 4.830
_cell_length_b 4.830
_cell_length_c 3.818
_cell_angle_alpha 90.00
_cell_angle_beta 90.00
_cell_angle_gamma 90.00
_space_group_name_H-M_alt 'P 1'
_space_group_IT_number 1
_space_group_name_Hall 'P 1'
loop_
_atom_site_label
_atom_site_fract_x
_atom_site_fract_y
_atom_site_fract_z
_atom_site_occupancy
Mg1 0.000 0.000 0.000 1
W1 0.500 0.500 0.500 1
S1 0.000 0.500 0.500 1
S2 0.500 0.000 0.500 1
N1 0.500 0.500 0.000 1
```



2.
The following is a GGA-PBE calculation of a relaxed Cs2AcPuO4 crystal, from Alexandria.

Results
* space-group type: P2/m (10)
* energy relative to the elements, uncorrected: -228 kJ per mole of atoms
* M_tot: 5.0 μB/cell

```
data_Cs2AcPuO4
_cell_length_a 6.571
_cell_length_b 3.771
_cell_length_c 7.300
_cell_angle_alpha 90.00
_cell_angle_beta 107.48
_cell_angle_gamma 90.00
_space_group_name_H-M_alt 'P 1'
_space_group_IT_number 1
_space_group_name_Hall 'P 1'
loop_
_atom_site_label
_atom_site_fract_x
_atom_site_fract_y
_atom_site_fract_z
_atom_site_occupancy
Cs1 0.000 0.000 0.000 1
Cs2 0.500 0.500 0.000 1
Ac1 0.000 0.500 0.500 1
Pu1 0.500 0.000 0.500 1
O1 0.242 0.000 0.667 1
O2 0.296 0.500 0.336 1
O3 0.704 0.500 0.664 1
O4 0.758 0.000 0.333 1
```



3.
The following is a GGA-PBE calculation of a relaxed Zr2CdHg crystal, from Alexandria.

Results
* polymorph energy (0 for the lowest one): 358 meV per atom
* space-group type: F-43m (216)
* formation enthalpy at 0 K: 210 meV per atom
* M_tot: 3.3 μB/cell

```
data_Zr2CdHg
_cell_length_a 5.038
_cell_length_b 5.038
_cell_length_c 5.038
_cell_angle_alpha 60.00
_cell_angle_beta 60.00
_cell_angle_gamma 60.00
_space_group_name_H-M_alt 'P 1'
_space_group_IT_number 1
_space_group_name_Hall 'P 1'
loop_
_atom_site_label
_atom_site_fract_x
_atom_site_fract_y
_atom_site_fract_z
_atom_site_occupancy
Zr1 0.000 0.000 0.000 1
Zr2 0.250 0.250 0.250 1
Cd1 0.500 0.500 0.500 1
Hg1 0.750 0.750 0.750 1
```



4.
The following is a GGA-PBE calculation of a relaxed Sm7Tl2Cd crystal, from Alexandria.

Results
* space-group type: P3m1 (156)
* formation enthalpy at 0 K: -50 meV per atom
* M_tot: 0.9 μB/cell

```
data_Sm7Tl2Cd
_cell_length_a 5.368
_cell_length_b 5.368
_cell_length_c 13.086
_cell_angle_alpha 90.00
_cell_angle_beta 90.00
_cell_angle_gamma 120.00
_space_group_name_H-M_alt 'P 1'
_space_group_IT_number 1
_space_group_name_Hall 'P 1'
loop_
_atom_site_label
_atom_site_fract_x
_atom_site_fract_y
_atom_site_fract_z
_atom_site_occupancy
Sm1 0.000 0.000 0.000 1
Sm2 0.000 0.000 0.262 1
Sm3 0.000 0.000 0.736 1
Sm4 0.333 0.667 0.412 1
Sm5 0.333 0.667 0.882 1
Sm6 0.667 0.333 0.128 1
Sm7 0.667 0.333 0.585 1
Tl1 0.000 0.000 0.499 1
Tl2 0.667 0.333 0.845 1
Cd1 0.333 0.667 0.145 1
```



5.
The following is a GGA-PBE calculation of a relaxed AlIrI3 crystal, from Alexandria.

Results
* polymorph energy (0 for the lowest one): 631 meV per atom
* space-group type: Pm-3m (221)
* energy relative to the elements, uncorrected: 97 kJ per mole of atoms
* M_tot: 3.1 μB/cell

```
data_AlIrI3
_cell_length_a 5.522
_cell_length_b 5.522
_cell_length_c 5.522
_cell_angle_alpha 90.00
_cell_angle_beta 90.00
_cell_angle_gamma 90.00
_space_group_name_H-M_alt 'P 1'
_space_group_IT_number 1
_space_group_name_Hall 'P 1'
loop_
_atom_site_label
_atom_site_fract_x
_atom_site_fract_y
_atom_site_fract_z
_atom_site_occupancy
Al1 0.000 0.000 0.000 1
Ir1 0.500 0.500 0.500 1
I1 0.000 0.000 0.500 1
I2 0.000 0.500 0.000 1
I3 0.500 0.000 0.000 1
```



6.
The following is a GGA-PBE calculation of a relaxed Ac2ErScTe5 crystal, from Alexandria.

Results
* space-group type: Cmc2_1 (36)
* energy relative to the elements, uncorrected: -132 kJ per mole of atoms
* M_tot: 0.0 μB/cell

```
data_Ac2ErScTe5
_cell_length_a 9.618
_cell_length_b 9.618
_cell_length_c 14.306
_cell_angle_alpha 90.00
_cell_angle_beta 90.00
_cell_angle_gamma 153.25
_space_group_name_H-M_alt 'P 1'
_space_group_IT_number 1
_space_group_name_Hall 'P 1'
loop_
_atom_site_label
_atom_site_fract_x
_atom_site_fract_y
_atom_site_fract_z
_atom_site_occupancy
Ac1 0.105 0.895 0.500 1
Ac2 0.143 0.857 0.124 1
Ac3 0.857 0.143 0.624 1
Ac4 0.895 0.105 0.000 1
Er1 0.206 0.794 0.825 1
Er2 0.794 0.206 0.325 1
Sc1 0.471 0.529 0.266 1
Sc2 0.529 0.471 0.766 1
Te1 0.054 0.946 0.883 1
Te2 0.280 0.720 0.474 1
Te3 0.323 0.677 0.177 1
Te4 0.371 0.629 0.813 1
Te5 0.485 0.515 0.580 1
Te6 0.515 0.485 0.080 1
Te7 0.629 0.371 0.313 1
Te8 0.677 0.323 0.677 1
Te9 0.720 0.280 0.974 1
Te10 0.946 0.054 0.383 1
```